(1)
VASP calculation (PBE-GGA) on a relaxed Th3Zn9Os2 crystal.

Geometry as CIF:
```
data_Th3Zn9Os2
_symmetry_space_group_name_H-M 'P 1'
_symmetry_Int_Tables_number 1
_cell_length_a 4.361
_cell_length_b 8.251
_cell_length_c 8.251
_cell_angle_alpha 67.64
_cell_angle_beta 74.68
_cell_angle_gamma 74.68
loop_
_symmetry_equiv_pos_as_xyz
'x,y,z'
loop_
_atom_site_label
_atom_site_fract_x
_atom_site_fract_y
_atom_site_fract_z
_atom_site_occupancy
Zn1 0.127 0.593 0.153 1
Zn2 0.000 0.500 0.500 1
Zn3 0.873 0.847 0.407 1
Zn4 0.667 0.691 0.974 1
Os1 0.500 0.702 0.298 1
Th1 0.313 0.687 0.687 1
Zn5 0.333 0.309 0.026 1
Th2 0.000 0.000 0.000 1
Zn6 0.333 0.026 0.309 1
Zn7 0.667 0.974 0.691 1
Zn8 0.873 0.407 0.847 1
Os2 0.500 0.298 0.702 1
Th3 0.687 0.313 0.313 1
Zn9 0.127 0.153 0.593 1
```

(2)
# BeCdAs2, optimized geometry, DFT PBE-GGA
# Polymorph energy (0 for the lowest one) (eV per atom): 0.331
data_BeCdAs2
_symmetry_space_group_name_H-M 'P 1'
_symmetry_Int_Tables_number 1
_cell_length_a 9.862
_cell_length_b 9.862
_cell_length_c 9.862
_cell_angle_alpha 17.61
_cell_angle_beta 17.61
_cell_angle_gamma 17.61
loop_
_symmetry_equiv_pos_as_xyz
'x,y,z'
loop_
_atom_site_label
_atom_site_fract_x
_atom_site_fract_y
_atom_site_fract_z
_atom_site_occupancy
As1 0.225 0.225 0.225 1
As2 0.012 0.012 0.012 1
Be1 0.502 0.502 0.502 1
Cd1 0.761 0.761 0.761 1

(3)
VASP calculation (PBE-GGA) on a relaxed Cs2Rb6NaPd crystal.

Geometry as CIF:
```
data_Cs2Rb6NaPd
_symmetry_space_group_name_H-M 'P 1'
_symmetry_Int_Tables_number 1
_cell_length_a 10.437
_cell_length_b 10.437
_cell_length_c 10.432
_cell_angle_alpha 120.18
_cell_angle_beta 120.18
_cell_angle_gamma 89.83
loop_
_symmetry_equiv_pos_as_xyz
'x,y,z'
loop_
_atom_site_label
_atom_site_fract_x
_atom_site_fract_y
_atom_site_fract_z
_atom_site_occupancy
Rb1 0.228 0.229 0.002 1
Pd1 0.000 0.000 0.999 1
Rb2 0.772 0.773 0.998 1
Rb3 0.773 0.228 0.000 1
Rb4 0.228 0.773 0.000 1
Cs1 0.249 0.752 0.501 1
Cs2 0.752 0.250 0.501 1
Rb5 0.227 0.228 0.454 1
Rb6 0.772 0.772 0.544 1
Na1 0.499 0.499 0.998 1
```

E_form, record by record: -0.192, 0.395, 0.058 eV/atom